Entry 1:
# WAu3Cl | Alexandria via LeMat-Bulk | PBE-GGA | optimized geometry
# uncorrected formation energy: 1908 meV/atom
# E above lowest polymorph: 681 meV per atom
# symmetry: No. 221
data_WAu3Cl
_symmetry_space_group_name_H-M 'P 1'
_symmetry_Int_Tables_number 1
_symmetry_space_group_name_Hall 'P 1'
_cell_length_a 4.7349
_cell_length_b 4.7349
_cell_length_c 4.7349
_cell_angle_alpha 90.00
_cell_angle_beta 90.00
_cell_angle_gamma 90.00
loop_
_atom_site_label
_atom_site_type_symbol
_atom_site_fract_x
_atom_site_fract_y
_atom_site_fract_z
Au1 Au 0.0000 0.5000 0.0000
Au2 Au 0.0000 0.0000 0.5000
Au3 Au 0.5000 0.0000 0.0000
W1 W 0.5000 0.5000 0.5000
Cl1 Cl 0.0000 0.0000 0.0000

***

Entry 2:
# Rb3SnS4 | Alexandria via LeMat-Bulk | PBE-GGA | optimized geometry
# uncorrected formation energy: -764 meV/atom
# E above lowest polymorph: 0 meV per atom
# symmetry: No. 31
data_Rb3SnS4
_symmetry_space_group_name_H-M 'P 1'
_symmetry_Int_Tables_number 1
_symmetry_space_group_name_Hall 'P 1'
_cell_length_a 7.8351
_cell_length_b 8.8001
_cell_length_c 10.0619
_cell_angle_alpha 90.00
_cell_angle_beta 90.00
_cell_angle_gamma 90.00
loop_
_atom_site_label
_atom_site_type_symbol
_atom_site_fract_x
_atom_site_fract_y
_atom_site_fract_z
Rb1 Rb 0.5184 0.8770 0.0000
Rb2 Rb 0.0102 0.6685 0.2350
Rb3 Rb 0.5102 0.3315 0.2650
Rb4 Rb 0.0184 0.1230 0.5000
Rb5 Rb 0.5102 0.3315 0.7350
Rb6 Rb 0.0102 0.6685 0.7650
Sn1 Sn 0.0005 0.1818 0.0000
Sn2 Sn 0.5005 0.8182 0.5000
S1 S 0.0878 0.9191 0.0000
S2 S 0.6952 0.2130 0.0000
S3 S 0.0965 0.3019 0.2025
S4 S 0.5965 0.6981 0.2975
S5 S 0.1952 0.7870 0.5000
S6 S 0.5878 0.0809 0.5000
S7 S 0.5965 0.6981 0.7025
S8 S 0.0965 0.3019 0.7975

***

Entry 3:
# Rb2VCrCl6 | Alexandria via LeMat-Bulk | PBE-GGA | optimized geometry
# uncorrected formation energy: -1393 meV/atom
# E above lowest polymorph: 0 meV per atom
# symmetry: No. 14
data_Rb2VCrCl6
_symmetry_space_group_name_H-M 'P 1'
_symmetry_Int_Tables_number 1
_symmetry_space_group_name_Hall 'P 1'
_cell_length_a 7.1151
_cell_length_b 7.1095
_cell_length_c 10.0360
_cell_angle_alpha 90.00
_cell_angle_beta 89.99
_cell_angle_gamma 90.00
loop_
_atom_site_label
_atom_site_type_symbol
_atom_site_fract_x
_atom_site_fract_y
_atom_site_fract_z
Rb1 Rb 0.9999 0.9979 0.2499
Rb2 Rb 0.4999 0.5021 0.7501
Rb3 Rb 0.0001 0.0021 0.7501
Rb4 Rb 0.5001 0.4979 0.2499
V1 V 0.5000 0.0000 0.0000
V2 V 0.0000 0.5000 0.5000
Cr1 Cr 0.5000 0.0000 0.5000
Cr2 Cr 0.0000 0.5000 0.0000
Cl1 Cl 0.2617 0.7439 0.0055
Cl2 Cl 0.7620 0.7563 0.5056
Cl3 Cl 0.7383 0.2561 0.9945
Cl4 Cl 0.2380 0.2437 0.4944
Cl5 Cl 0.2563 0.7380 0.4944
Cl6 Cl 0.7561 0.7617 0.9944
Cl7 Cl 0.7437 0.2620 0.5056
Cl8 Cl 0.2439 0.2383 0.0056
Cl9 Cl 0.9887 0.4998 0.2515
Cl10 Cl 0.4887 0.0002 0.7515
Cl11 Cl 0.0113 0.5002 0.7485
Cl12 Cl 0.5113 0.9998 0.2485

***

Entry 4:
# CoAg3Cl | Alexandria via LeMat-Bulk | PBE-GGA | optimized geometry
# uncorrected formation energy: 1090 meV/atom
# E above lowest polymorph: 299 meV per atom
# symmetry: No. 221
data_CoAg3Cl
_symmetry_space_group_name_H-M 'P 1'
_symmetry_Int_Tables_number 1
_symmetry_space_group_name_Hall 'P 1'
_cell_length_a 4.9633
_cell_length_b 4.9633
_cell_length_c 4.9633
_cell_angle_alpha 90.00
_cell_angle_beta 90.00
_cell_angle_gamma 90.00
loop_
_atom_site_label
_atom_site_type_symbol
_atom_site_fract_x
_atom_site_fract_y
_atom_site_fract_z
Co1 Co 0.5000 0.5000 0.5000
Ag1 Ag 0.0000 0.5000 0.0000
Ag2 Ag 0.0000 0.0000 0.5000
Ag3 Ag 0.5000 0.0000 0.0000
Cl1 Cl 0.0000 0.0000 0.0000

***

Entry 5:
# Pu4IrRu2 | Alexandria via LeMat-Bulk | PBE-GGA | optimized geometry
# E above lowest polymorph: 0 meV per atom
# symmetry: No. 122
# energy of formation from the pure elements: -0.199 eV per atom
data_Pu4IrRu2
_symmetry_space_group_name_H-M 'P 1'
_symmetry_Int_Tables_number 1
_symmetry_space_group_name_Hall 'P 1'
_cell_length_a 7.2948
_cell_length_b 7.2948
_cell_length_c 7.2948
_cell_angle_alpha 108.95
_cell_angle_beta 110.52
_cell_angle_gamma 108.95
loop_
_atom_site_label
_atom_site_type_symbol
_atom_site_fract_x
_atom_site_fract_y
_atom_site_fract_z
Pu1 Pu 0.1289 0.8875 0.3751
Pu2 Pu 0.6249 0.7538 0.5124
Pu3 Pu 0.9914 0.6125 0.7376
Pu4 Pu 0.2624 0.2538 0.8749
Pu5 Pu 0.6211 0.7462 0.0086
Pu6 Pu 0.7586 0.2462 0.8711
Pu7 Pu 0.4876 0.1125 0.2414
Pu8 Pu 0.1251 0.3875 0.3789
Ir1 Ir 0.0000 0.0000 0.0000
Ir2 Ir 0.7500 0.5000 0.2500
Ru1 Ru 0.8750 0.1196 0.4946
Ru2 Ru 0.5054 0.3804 0.6250
Ru3 Ru 0.3750 0.8804 0.7554
Ru4 Ru 0.2446 0.6196 0.1250

***

Entry 6:
# Cs3MnCu2Br9 | Alexandria via LeMat-Bulk | PBE-GGA | optimized geometry
# uncorrected formation energy: -991 meV/atom
# symmetry: No. 164
data_Cs3MnCu2Br9
_symmetry_space_group_name_H-M 'P 1'
_symmetry_Int_Tables_number 1
_symmetry_space_group_name_Hall 'P 1'
_cell_length_a 7.5169
_cell_length_b 7.5169
_cell_length_c 9.2092
_cell_angle_alpha 90.00
_cell_angle_beta 90.00
_cell_angle_gamma 120.00
loop_
_atom_site_label
_atom_site_type_symbol
_atom_site_fract_x
_atom_site_fract_y
_atom_site_fract_z
Cs1 Cs 0.3333 0.6667 0.6688
Cs2 Cs 0.0000 0.0000 0.0000
Cs3 Cs 0.6667 0.3333 0.3312
Mn1 Mn 0.0000 0.0000 0.5000
Cu1 Cu 0.3333 0.6667 0.1525
Cu2 Cu 0.6667 0.3333 0.8475
Br1 Br 0.8358 0.1642 0.6631
Br2 Br 0.8358 0.6717 0.6631
Br3 Br 0.3283 0.1642 0.6631
Br4 Br 0.6717 0.8358 0.3369
Br5 Br 0.1642 0.3283 0.3369
Br6 Br 0.1642 0.8358 0.3369
Br7 Br 0.5000 0.0000 0.0000
Br8 Br 0.0000 0.5000 0.0000
Br9 Br 0.5000 0.5000 0.0000

***

Entry 7:
# Pr2Sn3 | Alexandria via LeMat-Bulk | PBE-GGA | optimized geometry
# E above lowest polymorph: 0 meV per atom
# symmetry: No. 2
# energy of formation from the pure elements: -0.711 eV per atom
data_Pr2Sn3
_symmetry_space_group_name_H-M 'P 1'
_symmetry_Int_Tables_number 1
_symmetry_space_group_name_Hall 'P 1'
_cell_length_a 6.5031
_cell_length_b 8.5509
_cell_length_c 11.2967
_cell_angle_alpha 107.32
_cell_angle_beta 96.78
_cell_angle_gamma 100.10
loop_
_atom_site_label
_atom_site_type_symbol
_atom_site_fract_x
_atom_site_fract_y
_atom_site_fract_z
Pr1 Pr 0.3313 0.0320 0.7440
Pr2 Pr 0.6687 0.9680 0.2560
Pr3 Pr 0.9595 0.2527 0.0564
Pr4 Pr 0.0405 0.7473 0.9436
Pr5 Pr 0.5562 0.4311 0.3362
Pr6 Pr 0.4438 0.5689 0.6638
Pr7 Pr 0.1256 0.7534 0.3833
Pr8 Pr 0.8744 0.2466 0.6167
Sn1 Sn 0.0470 0.3533 0.3804
Sn2 Sn 0.9530 0.6467 0.6196
Sn3 Sn 0.3561 0.1648 0.4981
Sn4 Sn 0.6439 0.8352 0.5019
Sn5 Sn 0.4389 0.1709 0.0509
Sn6 Sn 0.5611 0.8291 0.9491
Sn7 Sn 0.3250 0.6023 0.1384
Sn8 Sn 0.6750 0.3977 0.8616
Sn9 Sn 0.2229 0.4055 0.8647
Sn10 Sn 0.7771 0.5945 0.1353
Sn11 Sn 0.1784 0.0383 0.2227
Sn12 Sn 0.8216 0.9617 0.7773

***

Entry 8:
# RbTa2W | Alexandria via LeMat-Bulk | PBE-GGA | optimized geometry
# E above lowest polymorph: 0 meV per atom
# symmetry: No. 225
# energy of formation from the pure elements: 1.707 eV per atom
data_RbTa2W
_symmetry_space_group_name_H-M 'P 1'
_symmetry_Int_Tables_number 1
_symmetry_space_group_name_Hall 'P 1'
_cell_length_a 4.8506
_cell_length_b 4.8506
_cell_length_c 4.8506
_cell_angle_alpha 60.00
_cell_angle_beta 60.00
_cell_angle_gamma 60.00
loop_
_atom_site_label
_atom_site_type_symbol
_atom_site_fract_x
_atom_site_fract_y
_atom_site_fract_z
Rb1 Rb 0.0000 0.0000 0.0000
W1 W 0.5000 0.5000 0.5000
Ta1 Ta 0.2500 0.2500 0.2500
Ta2 Ta 0.7500 0.7500 0.7500

***

Entry 9:
# ThSi3Pt2 | Alexandria via LeMat-Bulk | PBE-GGA | optimized geometry
# uncorrected formation energy: -826 meV/atom
# symmetry: No. 12
data_ThSi3Pt2
_symmetry_space_group_name_H-M 'P 1'
_symmetry_Int_Tables_number 1
_symmetry_space_group_name_Hall 'P 1'
_cell_length_a 4.2001
_cell_length_b 7.1965
_cell_length_c 7.8794
_cell_angle_alpha 106.34
_cell_angle_beta 105.46
_cell_angle_gamma 90.00
loop_
_atom_site_label
_atom_site_type_symbol
_atom_site_fract_x
_atom_site_fract_y
_atom_site_fract_z
Th1 Th 0.1439 0.1012 0.2877
Th2 Th 0.8561 0.8988 0.7123
Si1 Si 0.6639 0.4421 0.3278
Si2 Si 0.9767 0.3328 0.9535
Si3 Si 0.3519 0.2108 0.7038
Si4 Si 0.6481 0.7892 0.2962
Si5 Si 0.0233 0.6672 0.0465
Si6 Si 0.3361 0.5579 0.6722
Pt1 Pt 0.5106 0.2004 0.0212
Pt2 Pt 0.4894 0.7996 0.9788
Pt3 Pt 0.1943 0.6614 0.3886
Pt4 Pt 0.8057 0.3386 0.6114

***

Entry 10:
# TlHgBi3 | Alexandria via LeMat-Bulk | PBE-GGA | optimized geometry
# E above lowest polymorph: 0 meV per atom
# symmetry: No. 221
# energy of formation from the pure elements: 0.498 eV per atom
data_TlHgBi3
_symmetry_space_group_name_H-M 'P 1'
_symmetry_Int_Tables_number 1
_symmetry_space_group_name_Hall 'P 1'
_cell_length_a 5.7991
_cell_length_b 5.7991
_cell_length_c 5.7991
_cell_angle_alpha 90.00
_cell_angle_beta 90.00
_cell_angle_gamma 90.00
loop_
_atom_site_label
_atom_site_type_symbol
_atom_site_fract_x
_atom_site_fract_y
_atom_site_fract_z
Tl1 Tl 0.5000 0.5000 0.5000
Bi1 Bi 0.0000 0.5000 0.0000
Bi2 Bi 0.0000 0.0000 0.5000
Bi3 Bi 0.5000 0.0000 0.0000
Hg1 Hg 0.0000 0.0000 0.0000

***

Calculated values (μB per formula unit) of magnetization for the records, taken in order: 0.01; 1.13; 7.00; 2.14; 19.14; 3.32; 0.00; 0.00; 0.00; 0.00.